Density functional theory data (PBE with a Hubbard U) for a relaxed VSn3F crystal.

The relative energy among the computed polymorphs comes out at 0 meV/atom. The value obtained for the final energy is -4.238 eV/atom. Its volume is 115.92 Å³/cell.

Lattice parameters (Å, degrees): 4.876 4.876 4.876 90.00 90.00 90.00
Fractional positions:
Sn (0.000, 0.000, 0.500)
Sn (0.000, 0.500, 0.000)
V (0.500, 0.500, 0.500)
F (0.000, 0.000, 0.000)
Sn (0.500, 0.000, 0.000)